(1)
VASP calculation (GGA+U) on crystalline LiMnBO4 at its relaxed geometry.

Calculated values
The total energy comes out at -196.8 eV per cell.

Cell: 10.0802 5.8998 4.3534 Å, 90.00 90.00 90.00°
Closest atoms and distances in Å follow each position.
Space group Pnma (No. 62)
Inequivalent atoms, fractional coordinates:
1 Li 0.2240 0.2500 0.0145 (multiplicity 4)  6 O 2.04-2.25
2 Mn 0.0000 0.0000 0.5000 (multiplicity 4)  6 O 1.91-1.99
3 B 0.0858 0.7500 0.0892 (multiplicity 4)  4 O 1.46-1.61
4 O 0.0576 0.2500 0.7497 (multiplicity 4)  1 B 1.61
5 O 0.0774 0.7500 0.7511 (multiplicity 4)  1 B 1.47
6 O 0.1424 0.5431 0.2159 (multiplicity 8)  1 B 1.46

***

(2)
VASP calculation (GGA+U) on crystalline Li3Mn4B4O12 at its relaxed geometry.

Calculated values
The total energy comes out at -170.3 eV per cell.

Cell: 5.2803 6.2215 7.8149 Å, 78.98 87.32 88.13°
Closest atoms and distances in Å follow each position.
Space group P1 (No. 1)
Inequivalent atoms, fractional coordinates:
1 Li 0.0000 0.0000 0.0000 (multiplicity 1)  4 O 1.91-2.03
2 Li 0.1686 0.7300 0.6111 (multiplicity 1)  4 O 1.94-2.06
3 Li 0.5174 0.4929 0.4828 (multiplicity 1)  4 O 1.97-2.03
4 Mn 0.0086 0.2794 0.6242 (multiplicity 1)  5 O 2.10-2.33
5 Mn 0.1716 0.4315 0.9850 (multiplicity 1)  5 O 2.07-2.28
6 Mn 0.5013 0.7952 0.1089 (multiplicity 1)  5 O 1.95-2.13
7 Mn 0.6781 0.9475 0.4640 (multiplicity 1)  4 O 2.08-2.20
8 B 0.0135 0.6266 0.2924 (multiplicity 1)  3 O 1.38-1.41
9 B 0.1677 0.0730 0.3037 (multiplicity 1)  3 O 1.35-1.41
10 B 0.5107 0.1221 0.7887 (multiplicity 1)  3 O 1.38-1.40
11 B 0.6703 0.6131 0.8014 (multiplicity 1)  3 O 1.38-1.42
12 O 0.0242 0.1861 0.1761 (multiplicity 1)  1 B 1.35
13 O 0.0702 0.0149 0.4760 (multiplicity 1)  1 B 1.40
14 O 0.1328 0.7062 0.1285 (multiplicity 1)  1 B 1.41
15 O 0.1566 0.5292 0.4300 (multiplicity 1)  1 B 1.38
16 O 0.2558 0.1619 0.8279 (multiplicity 1)  1 B 1.39
17 O 0.4171 0.9997 0.2688 (multiplicity 1)  1 B 1.41
18 O 0.5269 0.6938 0.6591 (multiplicity 1)  1 B 1.38
19 O 0.5473 0.5686 0.9689 (multiplicity 1)  1 B 1.42
20 O 0.6152 0.2038 0.6212 (multiplicity 1)  1 B 1.40
21 O 0.6666 0.0067 0.9132 (multiplicity 1)  1 B 1.38
22 O 0.7538 0.6636 0.3090 (multiplicity 1)  1 B 1.39
23 O 0.9255 0.5582 0.7814 (multiplicity 1)  1 B 1.39

***

(3)
VASP calculation (GGA+U) on crystalline LiMnBO4 at its relaxed geometry.

Calculated values
The total energy comes out at -196.6 eV per cell. The density of states at the Fermi level comes out at 0.0 states/eV/f.u.

Cell: 9.5231 5.5640 4.4841 Å, 90.00 90.00 90.00°
Closest atoms and distances in Å follow each position.
Space group Pnma (No. 62)
Inequivalent atoms, fractional coordinates:
1 Li 0.0000 0.0000 0.0000 (multiplicity 4)  6 O 2.03-2.05
2 Mn 0.2284 0.2500 0.4868 (multiplicity 4)  6 O 1.90-1.99
3 B 0.0912 0.7500 0.4374 (multiplicity 4)  4 O 1.42-1.56
4 O 0.0509 0.2500 0.6809 (multiplicity 4)  1 B 1.45
5 O 0.1030 0.7500 0.7525 (multiplicity 4)  1 B 1.42
6 O 0.1686 0.5414 0.2738 (multiplicity 8)  1 B 1.56

***

(4)
VASP calculation (GGA+U) on crystalline Li3Mn4B4O12 at its relaxed geometry.

Calculated values
The total energy comes out at -170.2 eV per cell.

Cell: 5.1788 6.1810 7.9670 Å, 79.85 87.88 87.35°
Closest atoms and distances in Å follow each position.
Space group P1 (No. 1)
Inequivalent atoms, fractional coordinates:
1 Li 0.0000 0.0000 0.0000 (multiplicity 1)  4 O 1.95-2.02
2 Li 0.1768 0.9209 0.6991 (multiplicity 1)  4 O 1.94-2.06
3 Li 0.5151 0.4865 0.4978 (multiplicity 1)  4 O 1.94-2.04
4 Mn 0.1889 0.2241 0.3484 (multiplicity 1)  5 O 2.07-2.31
5 Mn 0.4882 0.2114 0.8565 (multiplicity 1)  5 O 2.11-2.31
6 Mn 0.6826 0.6870 0.8734 (multiplicity 1)  5 O 2.10-2.30
7 Mn 0.9838 0.7316 0.3500 (multiplicity 1)  5 O 1.97-2.10
8 B 0.1886 0.5716 0.0319 (multiplicity 1)  3 O 1.37-1.42
9 B 0.4921 0.8807 0.1939 (multiplicity 1)  3 O 1.37-1.42
10 B 0.6813 0.0349 0.5311 (multiplicity 1)  3 O 1.36-1.45
11 B 0.9859 0.3754 0.6804 (multiplicity 1)  3 O 1.38-1.40
12 O 0.0661 0.5202 0.1950 (multiplicity 1)  1 B 1.42
13 O 0.0772 0.7250 0.9065 (multiplicity 1)  1 B 1.37
14 O 0.0958 0.2052 0.7948 (multiplicity 1)  1 B 1.38
15 O 0.1245 0.4715 0.5341 (multiplicity 1)  1 B 1.40
16 O 0.2280 0.9504 0.2039 (multiplicity 1)  1 B 1.42
17 O 0.4211 0.4646 0.0070 (multiplicity 1)  1 B 1.37
18 O 0.5599 0.9492 0.6851 (multiplicity 1)  1 B 1.39
19 O 0.5715 0.2013 0.4186 (multiplicity 1)  1 B 1.36
20 O 0.5983 0.7425 0.3303 (multiplicity 1)  1 B 1.37
21 O 0.6304 0.9506 0.0440 (multiplicity 1)  1 B 1.38
22 O 0.7296 0.4449 0.7047 (multiplicity 1)  1 B 1.39
23 O 0.9446 0.9606 0.4981 (multiplicity 1)  1 B 1.45

***

(5)
VASP calculation (GGA+U) on crystalline Li3Mn4B4O12 at its relaxed geometry.

Calculated values
The total energy comes out at -170.1 eV per cell. The density of states at the Fermi level comes out at 2.1 states/eV/f.u.

Cell: 5.2847 5.8745 9.0438 Å, 102.84 90.88 113.00°
Closest atoms and distances in Å follow each position.
Space group P1 (No. 1)
Inequivalent atoms, fractional coordinates:
1 Li 0.0000 0.0000 0.0000 (multiplicity 1)  4 O 1.97-2.01
2 Li 0.1609 0.6265 0.9387 (multiplicity 1)  4 O 1.93-2.08
3 Li 0.5111 0.9743 0.5011 (multiplicity 1)  4 O 1.91-2.04
4 Mn 0.0545 0.0719 0.6632 (multiplicity 1)  5 O 1.97-2.11
5 Mn 0.1345 0.5532 0.2747 (multiplicity 1)  5 O 2.11-2.28
6 Mn 0.5424 0.0745 0.1742 (multiplicity 1)  5 O 2.11-2.33
7 Mn 0.6223 0.5698 0.7585 (multiplicity 1)  5 O 2.07-2.31
8 B 0.0427 0.0555 0.3406 (multiplicity 1)  3 O 1.39-1.40
9 B 0.1450 0.5842 0.6111 (multiplicity 1)  3 O 1.34-1.43
10 B 0.5332 0.0637 0.8331 (multiplicity 1)  3 O 1.37-1.41
11 B 0.6416 0.5747 0.0961 (multiplicity 1)  3 O 1.38-1.40
12 O 0.1724 0.4517 0.7217 (multiplicity 1)  1 B 1.43
13 O 0.2644 0.9844 0.3395 (multiplicity 1)  1 B 1.39
14 O 0.3094 0.6112 0.4988 (multiplicity 1)  1 B 1.34
15 O 0.3629 0.0127 0.9451 (multiplicity 1)  1 B 1.37
16 O 0.4090 0.6346 0.1057 (multiplicity 1)  1 B 1.40
17 O 0.4641 0.1542 0.7126 (multiplicity 1)  1 B 1.41
18 O 0.7177 0.4746 0.2048 (multiplicity 1)  1 B 1.38
19 O 0.7666 0.0083 0.8253 (multiplicity 1)  1 B 1.39
20 O 0.8015 0.6233 0.9766 (multiplicity 1)  1 B 1.39
21 O 0.8867 0.0526 0.4625 (multiplicity 1)  1 B 1.39
22 O 0.9607 0.7027 0.6396 (multiplicity 1)  1 B 1.40
23 O 0.9710 0.1329 0.2168 (multiplicity 1)  1 B 1.40

***

(6)
VASP calculation (GGA+U) on crystalline LiMn3B3O9 at its relaxed geometry.

Calculated values
The total energy comes out at -242.0 eV per cell.

Cell: 5.2585 6.2748 11.8109 Å, 81.28 78.03 89.14°
Closest atoms and distances in Å follow each position.
Space group P-1 (No. 2)
Inequivalent atoms, fractional coordinates:
1 Li 0.2015 0.4668 0.2950 (multiplicity 2)  4 O 1.92-2.11
2 Mn 0.0073 0.0487 0.2922 (multiplicity 2)  5 O 2.05-2.24
3 Mn 0.3252 0.2908 0.0417 (multiplicity 2)  4 O 1.91-2.11
4 Mn 0.3404 0.3761 0.6207 (multiplicity 2)  5 O 1.95-2.07
5 B 0.0821 0.7197 0.4932 (multiplicity 2)  3 O 1.34-1.41
6 B 0.2428 0.5716 0.8354 (multiplicity 2)  3 O 1.37-1.41
7 B 0.4227 0.0711 0.8291 (multiplicity 2)  3 O 1.35-1.42
8 O 0.0062 0.3647 0.1750 (multiplicity 2)  1 B 1.39
9 O 0.0250 0.7189 0.3815 (multiplicity 2)  1 B 1.41
10 O 0.0877 0.2179 0.4168 (multiplicity 2)  1 B 1.34
11 O 0.2621 0.1458 0.9188 (multiplicity 2)  1 B 1.35
12 O 0.3239 0.5714 0.9422 (multiplicity 2)  1 B 1.41
13 O 0.3241 0.6346 0.5062 (multiplicity 2)  1 B 1.40
14 O 0.3527 0.0452 0.1605 (multiplicity 2)  1 B 1.40
15 O 0.3592 0.0980 0.7171 (multiplicity 2)  1 B 1.42
16 O 0.4262 0.5250 0.7420 (multiplicity 2)  1 B 1.37